The following is a DFT calculation (PBE-GGA) of a geometry-optimized HgIr2Rh2 structure.

a = 7.6631 Å, b = 7.6631 Å, c = 2.7789 Å
α = 90.00°, β = 90.00°, γ = 90.00°
Last column: nearest neighbours and their distance in Å.
Element x y z (fractional)
Ir 0.8792 0.6208 0.0000  6 Rh 2.61-2.69, 3 Ir 2.62-2.78
Rh 0.3248 0.1752 0.5000  6 Ir 2.61-2.69, 2 Rh 2.78
Rh 0.8248 0.3248 0.5000  6 Ir 2.61-2.69, 2 Rh 2.78
Hg 0.5000 0.5000 0.0000  2 Hg 2.78, 4 Ir 3.05
Hg 0.0000 0.0000 0.0000  2 Hg 2.78, 4 Ir 3.05
Ir 0.3792 0.8792 0.0000  6 Rh 2.61-2.69, 3 Ir 2.62-2.78
Rh 0.6752 0.8248 0.5000  6 Ir 2.61-2.69, 2 Rh 2.78
Ir 0.6208 0.1208 0.0000  6 Rh 2.61-2.69, 3 Ir 2.62-2.78
Rh 0.1752 0.6752 0.5000  6 Ir 2.61-2.69, 2 Rh 2.78
Ir 0.1208 0.3792 0.0000  6 Rh 2.61-2.69, 3 Ir 2.62-2.78

Computed properties:
calculated total energy = -6.238 eV per atom
energy above the most stable polymorph in this dataset = 0.00 eV per formula unit
SG = P4/mbm (127)
DFT formation energy = 0.307 eV per atom

The following is a DFT calculation (PBE-GGA) of a geometry-optimized Ho2Tm7Zr2 structure.

a = 5.7796 Å, b = 7.7609 Å, c = 7.7609 Å
α = 90.86°, β = 74.09°, γ = 74.09°
Last column: nearest neighbours and their distance in Å.
Element x y z (fractional)
Tm 0.8343 0.9402 0.4068  3 Tm 3.01-3.23, 2 Ho 3.19-3.35
Tm 0.0000 0.0000 0.0000  6 Tm 3.12-3.44
Tm 0.4027 0.2439 0.2439  5 Tm 3.23-3.46, 3 Zr 3.29-3.56, 2 Ho 3.51
Ho 0.5000 0.7760 0.2240  8 Tm 3.19-3.56, 2 Zr 3.44
Ho 0.5000 0.2240 0.7760  8 Tm 3.19-3.56, 2 Zr 3.44
Tm 0.5973 0.7561 0.7561  5 Tm 3.23-3.46, 3 Zr 3.29-3.56, 2 Ho 3.51
Tm 0.1657 0.5932 0.0598  3 Tm 3.01-3.23, 2 Ho 3.19-3.35
Zr 0.7954 0.4270 0.4270  2 Zr 3.15-3.33, 2 Tm 3.29-3.31, 2 Ho 3.44
Tm 0.8343 0.4068 0.9402  3 Tm 3.01-3.23, 2 Ho 3.19-3.35
Tm 0.1657 0.0598 0.5932  3 Tm 3.01-3.23, 2 Ho 3.19-3.35
Zr 0.2046 0.5730 0.5730  2 Zr 3.15-3.33, 2 Tm 3.29-3.31, 2 Ho 3.44

Computed properties:
calculated total energy = -4.985 eV per atom
SG = C2/m (12)
DFT formation energy = 0.247 eV per atom

The following is a DFT calculation (PBE-GGA) of a geometry-optimized Tb2DyTl structure.

a = 3.6181 Å, b = 3.6181 Å, c = 9.1964 Å
α = 90.00°, β = 90.00°, γ = 90.00°
Last column: nearest neighbours and their distance in Å.
Element x y z (fractional)
Dy 0.5000 0.5000 0.5000  8 Tb 3.57, 4 Dy 3.62
Tb 0.0000 0.0000 0.2296  4 Tl 3.32, 4 Dy 3.57, 4 Tb 3.62
Tl 0.5000 0.5000 0.0000  8 Tb 3.32, 4 Tl 3.62
Tb 0.0000 0.0000 0.7704  4 Tl 3.32, 4 Dy 3.57, 4 Tb 3.62

Computed properties:
calculated total energy = -4.218 eV per atom
energy above the most stable polymorph in this dataset = 0.09 eV per formula unit
SG = P4/mmm (123)
DFT formation energy = -0.161 eV per atom